Compound: NpURh4
Source: Alexandria
Functional: GGA-PBE
Structure: optimized geometry

Results
SG	F-43m (216)
energy of formation from the pure elements	-0.407	eV per atom
spin magnetization	5.23	μB/cell
mass density	14.0	g/cm3

Geometry as POSCAR:
```
NpURh4
1.0
0.000 3.744 3.744
3.744 0.000 3.744
3.744 3.744 0.000
Np U Rh
1 1 4
Direct
0.000 0.000 0.000
0.750 0.750 0.750
0.375 0.375 0.375
0.375 0.375 0.875
0.375 0.875 0.375
0.875 0.375 0.375
```